[1]
First-principles (PBE) data for a geometry-optimized MoH2Pt structure, as listed in the Alexandria database.

The structure in CIF format:
```
data_MoH2Pt
_chemical_formula_sum 'Mo4 H8 Pt4'
_symmetry_space_group_name_H-M 'F m -3 m'
_symmetry_Int_Tables_number 225
_symmetry_space_group_name_Hall '-F 4 2 3'
_cell_length_a 5.382
_cell_length_b 5.382
_cell_length_c 5.382
_cell_angle_alpha 90.00
_cell_angle_beta 90.00
_cell_angle_gamma 90.00
loop_
_atom_site_label
_atom_site_fract_x
_atom_site_fract_y
_atom_site_fract_z
_atom_site_occupancy
Mo1 0.000 0.000 0.000 1
H1 0.250 0.250 0.250 1
Pt1 0.000 0.000 0.500 1
```

Results
total DFT energy (no corrections): -0.19380 Ha/atom

[2]
First-principles (PBE) data for a geometry-optimized BeVAgPt2 structure, as listed in the Alexandria database.

The structure in CIF format:
```
data_BeVAgPt2
_chemical_formula_sum 'Be1 V1 Ag1 Pt2'
_symmetry_space_group_name_H-M 'P 4/m m m'
_symmetry_Int_Tables_number 123
_symmetry_space_group_name_Hall '-P 4 2'
_cell_length_a 4.611
_cell_length_b 4.611
_cell_length_c 4.882
_cell_angle_alpha 90.00
_cell_angle_beta 90.00
_cell_angle_gamma 90.00
loop_
_atom_site_label
_atom_site_fract_x
_atom_site_fract_y
_atom_site_fract_z
_atom_site_occupancy
Be1 0.000 0.000 0.000 1
V1 0.500 0.500 0.500 1
Ag1 0.500 0.500 0.000 1
Pt1 0.000 0.500 0.500 1
```

Results
formation energy: 1.23 eV/atom

| no. | mass density (Mg/m³) | V (A^3/atom) |
| --- | --- | --- |
| 1 | 12.482 | 9.75 |
| 2 | 8.928 | 20.76 |